{
  "formula": "TlAgMo2",
  "functional": "PBE-GGA",
  "state": "optimized geometry",
  "total_energy_ev_per_atom": -6.073,
  "space_group": "P4/mmm (123)",
  "crystal_system": "tetragonal",
  "e_form_ev_per_atom": 0.647,
  "lattice": [[3.9301, 0.0000, 0.0000], [0.0000, 3.9301, 0.0000], [0.0000, 0.0000, 4.5971]],
  "species": ["Tl", "Ag", "Mo", "Mo"],
  "frac_coords": [[0.0000, 0.0000, 0.0000], [0.5000, 0.5000, 0.0000], [0.0000, 0.5000, 0.5000], [0.5000, 0.0000, 0.5000]]
}

---

{
  "formula": "CeSiNiN",
  "functional": "PBE-GGA",
  "state": "optimized geometry",
  "total_energy_ev_per_atom": -7.485,
  "space_group": "P4/nmm (129)",
  "e_form_raw_ev_per_atom": -1.12,
  "crystal_system": "tetragonal",
  "lattice": [[3.7464, 0.0000, 0.0000], [0.0000, 3.7464, 0.0000], [0.0000, 0.0000, 8.1846]],
  "species": ["Ce", "Ce", "Si", "Si", "Ni", "Ni", "N", "N"],
  "frac_coords": [[0.2500, 0.2500, 0.1589], [0.7500, 0.7500, 0.8411], [0.2500, 0.2500, 0.6547], [0.7500, 0.7500, 0.3453], [0.2500, 0.7500, 0.5000], [0.7500, 0.2500, 0.5000], [0.2500, 0.2500, 0.8723], [0.7500, 0.7500, 0.1277]]
}